# Sr4In2Cl

An optimized crystal structure of Sr4In2Cl (GGA-PBE, Alexandria via LeMat-Bulk).

Lattice parameters (Å, degrees): 5.7307 5.7307 9.2751 107.99 107.99 90.00
With the nearest neighbours (Å) after each atom.
Sites, in units of the cell vectors:
1 In 0.6129 0.6129 0.2258  5 Sr 3.28-3.43
2 In 0.3871 0.3871 0.7742  5 Sr 3.28-3.43
3 Sr 0.5000 0.0000 0.0000  2 Cl 2.87
4 Sr 0.1903 0.1903 0.3806  1 Cl 3.18, 1 In 3.28
5 Sr 0.0000 0.5000 0.0000  2 Cl 2.87
6 Sr 0.8097 0.8097 0.6194  1 Cl 3.18, 1 In 3.28
7 Cl 0.0000 0.0000 0.0000  6 Sr 2.87-3.18

magnetization	0.00	μB per formula unit
formation energy (no corrections)	-0.6654	eV per atom
V	274	Å³/cell